(1)
Tb4ZnRu3 | GGA-PBE | optimized geometry

Unit cell a=4.866 b=6.967 c=9.728 alpha=90.00 beta=90.00 gamma=90.00
Fractional positions:
1 Ru 0.500 0.000 0.250
2 Ru 0.500 0.000 0.750
3 Ru 0.500 0.500 0.750
4 Ru 0.500 0.500 0.250
5 Ru 0.000 0.000 0.500
6 Ru 0.000 0.000 0.000
7 Tb 0.000 0.241 0.250
8 Tb 0.000 0.241 0.750
9 Tb 0.500 0.759 0.000
10 Tb 0.500 0.241 0.500
11 Tb 0.000 0.759 0.750
12 Tb 0.500 0.759 0.500
13 Tb 0.000 0.759 0.250
14 Tb 0.500 0.241 0.000
15 Zn 0.000 0.500 0.000
16 Zn 0.000 0.500 0.500

Values from the calculation:
The value obtained for the energy of formation is -0.353 eV per atom.

***

(2)
AlV2MoN | GGA-PBE | optimized geometry

Unit cell a=3.944 b=3.944 c=4.131 alpha=90.00 beta=90.00 gamma=90.00
Fractional positions:
1 Mo 0.000 0.000 0.500
2 N 0.000 0.000 0.000
3 V 0.000 0.500 0.000
4 V 0.500 0.000 0.000
5 Al 0.500 0.500 0.500

Values from the calculation:
As for the formation energy (no corrections): -0.49 eV/atom.

***

(3)
In5Sn2Bi2 | GGA-PBE | optimized geometry

Unit cell a=6.155 b=9.847 c=9.847 alpha=81.79 beta=71.79 gamma=71.79
Fractional positions:
1 Bi 0.079 0.000 0.000
2 Bi 0.579 0.500 0.500
3 Bi 0.283 0.768 0.732
4 Bi 0.783 0.232 0.268
5 Sn 0.647 0.839 0.894
6 Sn 0.380 0.161 0.106
7 Sn 0.147 0.394 0.339
8 Sn 0.880 0.606 0.661
9 In 0.677 0.877 0.247
10 In 0.665 0.949 0.551
11 In 0.431 0.419 0.852
12 In 0.931 0.352 0.919
13 In 0.702 0.581 0.148
14 In 0.165 0.051 0.449
15 In 0.801 0.123 0.753
16 In 0.177 0.747 0.377
17 In 0.202 0.648 0.081
18 In 0.301 0.253 0.623

Values from the calculation:
The value obtained for the energy of formation is 0.077 eV per atom.

***

What did we get for uncorrected energy? Answer: -50.44; -43.58; -28.77 eV/f.u., in the order shown.
What did we get for magnetization? Answer: 0.000; 0.000; 0.000 μB/f.u., in the order shown.